Mn4Fe6F19 | GGA+U | relaxed

For the total energy, the calculation gives -5.79 eV/atom. The calculation puts the magnetic moment at 44.38 μB per formula unit. The crystal system is cubic.

The space group is I23 (No. 197) and the conventional cell measures 9.1203, 9.1203 and 9.1203 Å, with angles of 90.00, 90.00 and 90.00 degrees. The inequivalent atoms are Mn at (0.1432, 0.1432, 0.1432), Fe at (0.0000, 0.1620, 0.5000), F at (0.0000, 0.0000, 0.0000), F at (0.0000, 0.0000, 0.3158) and F at (0.0613, 0.2874, 0.3130).